CrW2 (GGA-PBE, relaxed); E above lowest polymorph = 375 meV per atom
1.0
7.122 0.000 0.000
-3.561 6.168 0.000
0.000 0.000 3.078
Cr W
3 6
Cartesian
0.000 0.000 0.000
0.000 4.112 1.539
3.561 2.056 1.539
-0.951 1.646 1.539
-2.095 3.628 0.000
1.901 0.000 1.539
1.466 2.540 0.000
4.189 0.000 0.000
2.610 4.522 1.539

---

CrW2 (GGA-PBE, relaxed); E above lowest polymorph = 280 meV per atom
1.0
-3.048 3.048 2.431
3.048 -3.048 2.431
3.048 3.048 -2.431
Cr W
2 4
Cartesian
0.000 0.000 1.215
0.000 0.000 3.646
4.018 0.970 0.000
0.970 2.078 0.000
2.078 0.970 2.431
-0.970 2.078 2.431

---

Cr5W4 | GGA-PBE | relaxed

Structure (POSCAR):
```
Cr5W4
1.0
-4.522 4.522 1.519
4.522 -4.522 1.519
4.522 4.522 -1.519
Cr W
5 4
Cartesian
0.000 0.000 0.000
3.044 3.044 0.000
1.478 -1.478 1.519
-1.478 1.478 1.519
1.478 1.478 1.519
2.925 0.000 0.000
6.119 0.000 0.000
0.000 2.925 0.000
0.000 6.119 0.000
```

---

Cr3W4 (GGA-PBE, relaxed); E above lowest polymorph = 4 meV per atom
1.0
-1.532 1.532 10.694
1.532 -1.532 10.694
1.532 1.532 -10.694
Cr W
3 4
Cartesian
0.000 0.000 0.000
0.000 0.000 6.064
0.000 0.000 15.324
0.000 0.000 3.166
0.000 0.000 9.191
0.000 0.000 12.197
0.000 0.000 18.221

---

CrW3 | GGA-PBE | relaxed

Structure (POSCAR):
```
CrW3
1.0
4.425 -4.395 0.000
4.425 4.395 0.000
-0.018 0.000 6.247
Cr W
4 12
Cartesian
0.000 0.000 0.000
-0.008 0.000 3.106
2.198 0.000 1.547
4.396 0.000 6.244
2.195 2.173 3.102
2.207 2.169 0.009
4.419 2.230 1.540
2.170 0.000 4.695
4.405 2.219 4.693
2.195 -2.173 3.102
2.207 -2.169 0.009
4.391 0.000 3.095
6.646 0.000 1.540
4.405 -2.219 4.693
6.638 0.000 4.691
4.419 -2.230 1.540
```

---

CrW3 | GGA-PBE | relaxed

Structure (POSCAR):
```
CrW3
1.0
2.715 0.000 0.000
0.000 4.393 0.000
-0.896 0.000 5.098
Cr W
1 3
Cartesian
0.000 0.000 0.000
-0.008 2.197 3.848
0.909 0.000 2.549
1.827 2.197 1.250
```

---

CrW2 (GGA-PBE, relaxed); E above lowest polymorph = 383 meV per atom
1.0
4.546 0.000 0.000
-2.273 3.937 0.000
0.000 0.000 5.056
Cr W
2 4
Cartesian
0.000 2.625 1.264
2.273 1.312 3.792
0.000 0.000 0.000
0.000 0.000 2.528
0.000 2.625 3.792
2.273 1.312 1.264

---

CrW8 (GGA-PBE, relaxed); E above lowest polymorph = 0 meV per atom
1.0
-4.734 4.734 1.580
4.734 -4.734 1.580
4.734 4.734 -1.580
Cr W
1 8
Cartesian
0.000 0.000 0.000
3.138 0.000 0.000
6.331 0.000 0.000
0.000 3.138 0.000
3.184 3.184 0.000
1.550 -1.550 1.580
-1.550 1.550 1.580
1.550 1.550 1.580
0.000 6.331 0.000

---

CrW2 (GGA-PBE, relaxed); E above lowest polymorph = 15 meV per atom
1.0
4.895 -1.549 0.000
4.895 1.549 0.000
-2.012 0.000 5.852
Cr W
2 4
Cartesian
1.472 0.000 0.479
6.306 0.000 5.373
0.470 0.000 3.461
4.398 0.000 1.399
3.380 0.000 4.453
7.308 0.000 2.391

---

CrW5 (GGA-PBE, relaxed); E above lowest polymorph = 452 meV per atom
1.0
0.000 3.697 3.697
3.697 0.000 3.697
3.697 3.697 0.000
Cr W
1 5
Cartesian
0.000 0.000 0.000
4.619 2.775 2.775
1.848 1.848 1.848
2.775 4.619 2.775
2.775 2.775 4.619
4.619 4.619 4.619

---

Cr3W5 (GGA-PBE, relaxed); E above lowest polymorph = 0 meV per atom
1.0
6.164 0.000 0.000
0.000 4.361 4.357
0.000 -4.361 4.357
Cr W
6 10
Cartesian
0.000 0.000 0.000
0.000 -2.205 2.232
0.000 2.205 2.232
1.508 0.000 6.588
3.082 0.000 4.414
4.656 0.000 6.588
0.000 0.000 4.474
1.507 -2.185 4.401
1.510 0.000 2.227
1.507 2.185 4.401
3.082 0.000 0.005
3.082 -2.124 6.571
3.082 2.124 6.571
4.657 -2.185 4.401
4.654 0.000 2.227
4.657 2.185 4.401

---

CrW5 (GGA-PBE, relaxed); E above lowest polymorph = 0 meV per atom
1.0
2.221 -6.649 0.000
2.221 6.649 0.000
0.000 0.000 3.151
Cr W
1 5
Cartesian
0.000 0.000 0.000
2.221 4.482 1.575
2.221 2.200 0.000
2.221 0.000 1.575
2.221 -2.200 0.000
2.221 -4.482 1.575

---

Respective E_form values: 429, 334, 87, 71, 64, 68, 437, 26, 69, 493, 83, 41 meV per atom.
Respective total energy values: -11.414, -11.509, -11.016, -11.455, -12.056, -12.052, -11.407, -12.557, -11.775, -11.905, -11.622, -12.358 eV per atom.